Record 1
VASP calculation (meta-GGA SCAN) on a PBEsol-optimized structure of SiHgIr2.

```
SiHgIr2
1.0
4.130 0.000 0.000
0.000 4.130 0.000
0.000 0.000 3.519
Si Hg Ir
1 1 2
Cartesian
0.000 0.000 0.000
2.065 2.065 0.000
0.000 2.065 1.760
2.065 0.000 1.760
```

Offset from the most stable computed form (eV/atom): 0.551
Density of states at the Fermi level (states/eV/cell): 0.847
Final energy (eV/atom): -54.7622
Space group: P4/mmm, No. 123

Record 2
VASP calculation (meta-GGA SCAN) on a PBEsol-optimized structure of TbAl2Si2.

```
TbAl2Si2
1.0
4.175 0.000 0.000
-2.087 3.615 0.000
0.000 0.000 6.509
Tb Al Si
1 2 2
Cartesian
0.000 0.000 0.000
0.000 2.410 4.198
2.087 1.205 2.311
0.000 2.410 1.677
2.087 1.205 4.832
```

Density of states at the Fermi level (states/eV/cell): 1.622
Final energy (eV/atom): -16.8585
Space group: P-3m1, No. 164

Record 3
VASP calculation (meta-GGA SCAN) on a PBEsol-optimized structure of YCu6ClO8.

```
YCu6ClO8
1.0
0.000 4.568 4.568
4.568 0.000 4.568
4.568 4.568 0.000
Y Cu Cl O
1 6 1 8
Cartesian
0.000 0.000 0.000
2.284 2.284 0.000
2.284 0.000 2.284
4.568 2.284 2.284
0.000 2.284 2.284
2.284 4.568 2.284
2.284 2.284 4.568
4.568 4.568 4.568
1.322 1.322 1.322
3.246 3.246 1.322
3.246 1.322 3.246
7.814 5.890 5.890
1.322 3.246 3.246
5.890 7.814 5.890
5.890 5.890 7.814
7.814 7.814 7.814
```

Density of states at the Fermi level (states/eV/cell): 2.799
Final energy (eV/atom): -12.3757
Space group: Fm-3m, No. 225